No. 1
Here is a relaxed structure of Os4C from the Alexandria database. Energies are from PBE-GGA.

Properties
ΔE to the lowest computed polymorph (meV/atom): 237
N(E_F) (states/eV per atom): 0.810
Formation enthalpy at 0 K (eV/atom): 0.690
Final energy (Ha/atom): -0.373

Cell and atoms, written as CIF:
```
data_Os4C
_cell_length_a 4.036
_cell_length_b 4.036
_cell_length_c 4.036
_cell_angle_alpha 90.00
_cell_angle_beta 90.00
_cell_angle_gamma 90.00
_space_group_name_H-M_alt 'P m -3 m'
_space_group_IT_number 221
_space_group_name_Hall '-P 4 2 3'
loop_
_atom_site_label
_atom_site_type_symbol
_atom_site_fract_x
_atom_site_fract_y
_atom_site_fract_z
Os1 Os 0.000 0.000 0.000
Os2 Os 0.000 0.500 0.500
C1 C 0.500 0.500 0.500
```



No. 2
Here is a relaxed structure of OsC7 from the Alexandria database. Energies are from PBE-GGA.

Properties
N(E_F) (states/eV per atom): 0.417
Formation enthalpy at 0 K (eV/atom): 3.751
Final energy (Ha/atom): -0.210

Cell and atoms, written as CIF:
```
data_OsC7
_cell_length_a 6.329
_cell_length_b 6.329
_cell_length_c 6.329
_cell_angle_alpha 90.00
_cell_angle_beta 90.00
_cell_angle_gamma 90.00
_space_group_name_H-M_alt 'F m -3 m'
_space_group_IT_number 225
_space_group_name_Hall '-F 4 2 3'
loop_
_atom_site_label
_atom_site_type_symbol
_atom_site_fract_x
_atom_site_fract_y
_atom_site_fract_z
Os1 Os 0.000 0.000 0.000
C1 C 0.000 0.000 0.500
C2 C 0.000 0.250 0.250
```